Record 1
VASP calculation (PBE) on a relaxed structure of SrBeAsBr2.

The total magnetic moment comes out at 0.41 μB per atom. The calculation puts the density of states at the Fermi level at 3.0 states/eV/cell. The calculation puts the uncorrected formation energy at 0.80 eV/f.u.

The structure belongs to space group P4/mmm (No. 123); the cell edges are 5.863, 5.863 and 6.428 Å and the angles 90.00°, 90.00° and 90.00°. The distinct sites, in fractional coordinates, are Sr at (0.000, 0.000, 0.000), Be at (0.500, 0.500, 0.500), As at (0.000, 0.000, 0.500) and Br at (0.000, 0.500, 0.000).

***

Record 2
VASP calculation (PBE) on a relaxed structure of P2OsPt.

The total magnetic moment comes out at 0.00 μB per atom. The calculation puts the density of states at the Fermi level at 4.1 states/eV/cell. The calculation puts the energy of formation from the pure elements at 0.02 eV per atom.

The structure belongs to space group Imm2 (No. 44); the cell edges are 2.847, 3.538 and 12.090 Å and the angles 90.00°, 90.00° and 90.00°. The distinct sites, in fractional coordinates, are P at (0.000, 0.000, 0.000), P at (0.000, 0.500, 0.234), Os at (0.000, 0.000, 0.572) and Pt at (0.000, 0.500, 0.852).

***

Record 3
VASP calculation (PBE) on a relaxed structure of LiLaW2.

The total magnetic moment comes out at 0.00 μB per atom. The calculation puts the density of states at the Fermi level at 7.0 states/eV/cell. The calculation puts the energy of formation from the pure elements at 0.73 eV per atom.

The structure belongs to space group C2/m (No. 12); the cell edges are 5.516, 10.523 and 2.837 Å and the angles 90.00°, 112.68° and 90.00°. The distinct sites, in fractional coordinates, are Li at (0.000, 0.000, 0.000), La at (0.000, 0.500, 0.000) and W at (0.250, 0.250, 0.500).

***

Record 4
VASP calculation (PBE) on a relaxed structure of CePr4Dy7.

The total magnetic moment comes out at 0.10 μB per atom. The calculation puts the density of states at the Fermi level at 22.9 states/eV/cell. The calculation puts the energy of formation from the pure elements at 0.11 eV per atom.

The structure belongs to space group P-1 (No. 2); the cell edges are 6.605, 6.888 and 9.160 Å and the angles 84.75°, 76.91° and 81.87°. The distinct sites, in fractional coordinates, are Ce at (0.000, 0.000, 0.000), Pr at (0.168, 0.612, 0.308), Pr at (0.355, 0.184, 0.719), Dy at (0.000, 0.500, 0.000), Dy at (0.187, 0.104, 0.383), Dy at (0.322, 0.692, 0.640) and Dy at (0.490, 0.248, 0.050).

***

Record 5
VASP calculation (PBE) on a relaxed structure of ZnGa3Te.

The total magnetic moment comes out at 0.00 μB per atom. The calculation puts the density of states at the Fermi level at 3.1 states/eV/cell. The calculation puts the uncorrected formation energy at 3.28 eV/f.u.

The structure belongs to space group Pm-3m (No. 221); the cell edges are 5.702, 5.702 and 5.702 Å and the angles 90.00°, 90.00° and 90.00°. The distinct sites, in fractional coordinates, are Zn at (0.000, 0.000, 0.000), Ga at (0.000, 0.500, 0.500) and Te at (0.500, 0.500, 0.500).